CrBi2RuO8 | PBE with a Hubbard U | optimized geometry

DFT total energy, eV per atom: -6.43
SG: P2/m

```
CrBi2RuO8
1.0
4.863 -0.026 -0.002
-0.008 4.858 -0.006
0.002 0.008 6.649
Cr Bi Ru O
1 2 1 8
direct
0.000 0.000 0.500 Cr
0.500 0.500 0.747 Bi
0.500 0.500 0.253 Bi
0.000 0.000 0.000 Ru
0.175 0.823 0.243 O
0.716 0.718 0.000 O
0.824 0.177 0.243 O
0.825 0.177 0.757 O
0.284 0.282 0.000 O
0.176 0.823 0.757 O
0.709 0.710 0.500 O
0.291 0.290 0.500 O
```